[1]
K3CeCr2O8: optimized geometry, PBE+U.

```
14
Lattice="-2.080 -1.190 -5.519 5.405 -2.038 1.682 -3.255 -6.467 2.621" Properties=species:S:1:pos:R:3 pbc="T T T"
K 0.686 -6.175 1.073
K -0.616 -3.521 -2.288
K 0.000 0.000 0.000
O -2.774 -7.810 -0.550
O -1.973 -5.124 0.131
O 2.044 -4.572 -1.346
O 0.460 -3.034 0.481
O -2.964 -5.691 -2.498
O 2.845 -1.885 -0.665
O -0.389 -6.661 -1.697
O 3.034 -4.005 1.282
Ce -1.627 -3.234 1.310
Cr -2.069 -6.409 -1.118
Cr 2.140 -3.286 -0.098
```

Calculated values
* final energy: -6.557 eV/atom
* magnetic moment: 3.00 μB per cell

[2]
KCeCr2O8: optimized geometry, PBE+U.

```
12
Lattice="-1.849 5.529 -0.005 -3.244 -4.156 2.490 3.613 1.214 6.733" Properties=species:S:1:pos:R:3 pbc="T T T"
O -0.086 1.578 2.547
O -2.204 2.338 1.031
O -2.509 2.250 3.726
O 0.724 0.250 8.186
O -0.529 -1.629 6.683
O -0.951 4.217 2.535
O -1.394 1.010 6.671
O 1.029 0.338 5.492
K 0.000 0.000 0.000
Cr -1.447 2.592 2.442
Cr -0.033 -0.004 6.776
Ce 1.806 0.607 3.366
```

Calculated values
* final energy: -7.016 eV/atom
* magnetic moment: 1.01 μB per cell